# DyBiPb

A relaxed DyBiPb crystal (PBE-GGA, OQMD via LeMat-Bulk).

As for the polymorph energy (0 for the lowest one): 70.6 meV/atom. The calculation puts the total energy at -4.206 eV per atom.

It has space group F-43m (No. 216), with a = 7.450 Å, b = 7.450 Å, c = 7.450 Å, α = 90.00°, β = 90.00° and γ = 90.00°. The asymmetric unit holds Dy at (0.000, 0.000, 0.000), Bi at (0.250, 0.250, 0.250) and Pb at (0.000, 0.000, 0.500).